A plane-wave DFT calculation with PBE-GGA was carried out for an optimized crystal structure of SmPaZnGa.

a b c (Å): 5.0805 5.0805 5.0805
angles (deg): 60.00 60.00 60.00
Element x y z (fractional)
Sm: 0.0000 0.0000 0.0000
Pa: 0.5000 0.5000 0.5000
Zn: 0.2500 0.2500 0.2500
Ga: 0.7500 0.7500 0.7500

Properties
- E_tot (eV for the cell shown) = -19.13
- volume (Å³ per cell) = 92.7
- total magnetization (Bohr magnetons per cell) = 0.77
- SG = F-43m
- calculated formation energy (eV per formula unit) = -0.61

A plane-wave DFT calculation with PBE-GGA was carried out for an optimized crystal structure of Pa2Ga2Sn.

a b c (Å): 4.7234 4.7234 12.2192
angles (deg): 90.00 90.00 120.00
Element x y z (fractional)
Pa: 0.3333 0.6667 0.1008
Pa: 0.3333 0.6667 0.3992
Pa: 0.6667 0.3333 0.6008
Pa: 0.6667 0.3333 0.8992
Ga: 0.0000 0.0000 0.0000
Ga: 0.0000 0.0000 0.5000
Ga: 0.3333 0.6667 0.7500
Ga: 0.6667 0.3333 0.2500
Sn: 0.0000 0.0000 0.2500
Sn: 0.0000 0.0000 0.7500

Properties
- E_tot (eV for the cell shown) = -58.64
- volume (Å³ per cell) = 236.1
- total magnetization (Bohr magnetons per cell) = 0.86
- SG = P6_3/mmc
- calculated formation energy (eV per formula unit) = -0.27

A plane-wave DFT calculation with PBE-GGA was carried out for an optimized crystal structure of PaGaSn.

a b c (Å): 3.2228 3.2228 7.7706
angles (deg): 90.00 90.00 120.00
Element x y z (fractional)
Pa: 0.0000 0.0000 0.0000
Ga: 0.3333 0.6667 0.6721
Sn: 0.6667 0.3333 0.3579

Properties
- E_tot (eV for the cell shown) = -16.72
- offset from the most stable computed form (meV per atom) = 144
- volume (Å³ per cell) = 69.9
- total magnetization (Bohr magnetons per cell) = 0.00
- SG = P3m1
- calculated formation energy (eV per formula unit) = -0.19

A plane-wave DFT calculation with PBE-GGA was carried out for an optimized crystal structure of PaGaSn.

a b c (Å): 10.0055 10.0055 10.0055
angles (deg): 24.35 24.35 24.35
Element x y z (fractional)
Pa: 0.1903 0.1903 0.1903
Pa: 0.8097 0.8097 0.8097
Ga: 0.0834 0.0834 0.0834
Ga: 0.9166 0.9166 0.9166
Sn: 0.3724 0.3724 0.3724
Sn: 0.6276 0.6276 0.6276

Properties
- E_tot (eV for the cell shown) = -32.24
- offset from the most stable computed form (meV per atom) = 343
- volume (Å³ per cell) = 149.7
- total magnetization (Bohr magnetons per cell) = 0.00
- SG = R-3m
- calculated formation energy (eV per formula unit) = 0.41

A plane-wave DFT calculation with PBE-GGA was carried out for an optimized crystal structure of PaGaSn.

a b c (Å): 6.5675 6.5675 6.5675
angles (deg): 127.09 73.68 132.68
Element x y z (fractional)
Pa: 0.5000 0.0000 0.0000
Pa: 0.5000 0.5000 0.5000
Ga: 0.0079 0.2579 0.7500
Ga: 0.9921 0.7421 0.2500
Sn: 0.0000 0.0000 0.0000
Sn: 0.5000 0.0000 0.5000

Properties
- E_tot (eV for the cell shown) = -32.39
- offset from the most stable computed form (meV per atom) = 317
- volume (Å³ per cell) = 162.1
- total magnetization (Bohr magnetons per cell) = 1.63
- SG = Imma
- calculated formation energy (eV per formula unit) = 0.33

A plane-wave DFT calculation with PBE-GGA was carried out for an optimized crystal structure of Pa6Ga2Sn.

a b c (Å): 8.7429 8.7429 3.2197
angles (deg): 90.00 90.00 120.00
Element x y z (fractional)
Pa: 0.0000 0.3078 0.0000
Pa: 0.0000 0.6145 0.5000
Pa: 0.3078 0.0000 0.0000
Pa: 0.3855 0.3855 0.5000
Pa: 0.6145 0.0000 0.5000
Pa: 0.6922 0.6922 0.0000
Ga: 0.3333 0.6667 0.0000
Ga: 0.6667 0.3333 0.0000
Sn: 0.0000 0.0000 0.5000

Properties
- E_tot (eV for the cell shown) = -67.93
- volume (Å³ per cell) = 213.1
- total magnetization (Bohr magnetons per cell) = 0.00
- SG = P-62m
- calculated formation energy (eV per formula unit) = -0.89

A plane-wave DFT calculation with PBE-GGA was carried out for an optimized crystal structure of Pa4Ga7Sn6.

a b c (Å): 7.9069 7.9069 7.9069
angles (deg): 109.47 109.47 109.47
Element x y z (fractional)
Pa: 0.0000 0.0000 0.5000
Pa: 0.0000 0.5000 0.0000
Pa: 0.5000 0.0000 0.0000
Pa: 0.5000 0.5000 0.5000
Ga: 0.0000 0.0000 0.0000
Ga: 0.2500 0.5000 0.7500
Ga: 0.2500 0.7500 0.5000
Ga: 0.5000 0.2500 0.7500
Ga: 0.5000 0.7500 0.2500
Ga: 0.7500 0.2500 0.5000
Ga: 0.7500 0.5000 0.2500
Sn: 0.0000 0.2973 0.2973
Sn: 0.0000 0.7027 0.7027
Sn: 0.2973 0.0000 0.2973
Sn: 0.2973 0.2973 0.0000
Sn: 0.7027 0.0000 0.7027
Sn: 0.7027 0.7027 0.0000

Properties
- E_tot (eV for the cell shown) = -86.57
- volume (Å³ per cell) = 380.5
- total magnetization (Bohr magnetons per cell) = 1.81
- SG = Im-3m
- calculated formation energy (eV per formula unit) = -3.38

A plane-wave DFT calculation with PBE-GGA was carried out for an optimized crystal structure of PaGaSn2.

a b c (Å): 4.5241 4.5241 4.5722
angles (deg): 90.00 90.00 90.00
Element x y z (fractional)
Pa: 0.0000 0.0000 0.0000
Ga: 0.5000 0.5000 0.0000
Sn: 0.0000 0.5000 0.5000
Sn: 0.5000 0.0000 0.5000

Properties
- E_tot (eV for the cell shown) = -21.86
- offset from the most stable computed form (meV per atom) = 0
- volume (Å³ per cell) = 93.6
- total magnetization (Bohr magnetons per cell) = 0.00
- SG = P4/mmm
- calculated formation energy (eV per formula unit) = -1.33